Arrangement P

OsPt2Au PBEsol relaxed; DOS at the Fermi energy = 3.647 states/eV per cell; total moment = 0.0 μB/cell
1.0
3.956 0.000 0.000
0.000 3.956 0.000
-1.978 -1.978 3.855
Au Os Pt
1 1 2
Direct
0.500 0.500 0.000
0.250 0.750 0.500
0.000 0.000 0.000
0.750 0.250 0.500

Arrangement Q

OsPt2Au PBEsol relaxed; DOS at the Fermi energy = 4.555 states/eV per cell; total moment = 0.0 μB/cell
1.0
-0.278 -1.406 -2.308
-0.023 -1.306 2.398
-9.513 1.075 0.493
Au Os Pt
1 1 2
Direct
0.500 0.000 0.500
0.500 0.000 0.000
0.000 0.000 0.759
0.000 0.000 0.241

Arrangement R

OsPt2Au PBEsol relaxed; DOS at the Fermi energy = 4.354 states/eV per cell; total moment = 0.0 μB/cell
1.0
2.755 0.000 0.000
-1.377 4.565 -0.006
0.000 -0.785 4.817
Au Os Pt
1 1 2
Direct
0.496 0.992 0.503
0.745 0.491 0.232
0.006 0.011 0.015
0.253 0.506 0.751

Energies in kJ/mol of atoms, measured from the most stable structure: arrangement P 8.6; arrangement Q 2.3; arrangement R 0.0.

Arrangement P

OsPtAu2 PBEsol relaxed; DOS at the Fermi energy = 4.027 states/eV per cell; total moment = 0.0 μB/cell
1.0
-2.069 1.537 1.083
-0.237 0.270 2.772
4.615 8.034 1.022
Au Os Pt
2 1 1
Direct
0.249 0.249 0.254
0.751 0.751 0.746
0.500 0.500 0.500
0.000 0.000 0.000

Arrangement Q

OsPtAu2 PBEsol relaxed; DOS at the Fermi energy = 4.852 states/eV per cell; total moment = 0.0 μB/cell
1.0
2.715 0.000 0.000
0.000 4.827 0.000
-1.357 -2.414 4.835
Au Os Pt
2 1 1
Direct
0.754 0.754 0.507
0.246 0.246 0.493
0.500 0.000 0.000
0.000 0.500 0.000

Energies in kJ/mol of atoms, measured from the most stable structure: arrangement P 0.0; arrangement Q 9.5.

Arrangement P

OsRuAu2 PBEsol relaxed; DOS at the Fermi energy = 5.781 states/eV per cell; total moment = 0.0 μB/cell
1.0
4.438 0.000 0.000
2.219 3.843 0.000
2.219 1.281 3.623
Au Os Ru
2 1 1
Direct
0.000 0.000 0.000
0.750 0.750 0.750
0.500 0.500 0.500
0.250 0.250 0.250

Arrangement Q

OsRuAu2 PBEsol relaxed; DOS at the Fermi energy = 5.377 states/eV per cell; total moment = 0.1 μB/cell
1.0
-2.611 -0.549 0.659
1.074 -4.520 0.494
1.783 3.283 4.071
Au Os Ru
2 1 1
Direct
0.750 0.750 0.501
0.250 0.250 0.499
0.500 0.000 0.000
0.000 0.500 0.000

Energies in kJ/mol of atoms, measured from the most stable structure: arrangement P 9.2; arrangement Q 0.0.

Arrangement P

SbOsAu PBEsol relaxed; DOS at the Fermi energy = 1.666 states/eV per cell; total moment = 0.0 μB/cell
1.0
3.260 0.000 0.000
0.000 4.392 0.000
0.000 -2.196 3.804
Au Os Sb
1 1 1
Direct
0.000 0.000 0.000
0.500 0.333 0.667
0.500 0.667 0.333

Arrangement Q

SbOsAu PBEsol relaxed; DOS at the Fermi energy = 4.410 states/eV per cell; total moment = 0.7 μB/cell
1.0
-1.036 -3.709 -2.164
1.263 -3.918 1.602
-3.003 -2.771 1.679
Au Os Sb
1 1 1
Direct
0.250 0.250 0.250
0.000 0.000 0.000
0.500 0.500 0.500

Arrangement R

SbOsAu PBEsol relaxed; DOS at the Fermi energy = 2.514 states/eV per cell; total moment = 0.0 μB/cell
1.0
-1.104 -1.501 2.226
-0.672 -0.860 -2.690
6.970 -3.381 0.171
Au Os Sb
1 1 1
Direct
0.984 0.984 0.969
0.330 0.330 0.660
0.686 0.686 0.371

Energies in kJ/mol of atoms, measured from the most stable structure: arrangement P 0.0; arrangement Q 53.8; arrangement R 16.9.

Arrangement P

SiOsAu2 PBEsol relaxed; DOS at the Fermi energy = 3.289 states/eV per cell; total moment = 0.0 μB/cell
1.0
-0.445 -0.859 2.692
-2.188 -1.741 0.602
4.208 -7.724 -0.249
Au Os Si
2 1 1
Direct
0.255 0.255 0.236
0.745 0.745 0.764
0.500 0.500 0.500
0.000 0.000 0.000

Arrangement Q

SiOsAu2 PBEsol relaxed; DOS at the Fermi energy = 1.292 states/eV per cell; total moment = 0.0 μB/cell
1.0
3.828 0.000 0.000
0.000 3.828 0.000
0.000 0.000 4.115
Au Os Si
2 1 1
Direct
0.000 0.500 0.000
0.500 0.000 0.000
0.500 0.500 0.500
0.000 0.000 0.500

Energies in kJ/mol of atoms, measured from the most stable structure: arrangement P 9.9; arrangement Q 0.0.

Arrangement P

Sr2OsAu PBEsol relaxed; DOS at the Fermi energy = 3.484 states/eV per cell; total moment = 0.0 μB/cell
1.0
-1.203 3.237 0.215
-3.230 -1.216 0.240
0.694 -0.270 7.952
Au Os Sr
1 1 2
Direct
0.500 0.500 0.500
0.500 0.500 0.000
0.000 0.000 0.233
0.000 0.000 0.767

Arrangement Q

Sr2OsAu PBEsol relaxed; DOS at the Fermi energy = 4.959 states/eV per cell; total moment = 0.5 μB/cell
1.0
-0.011 1.704 4.090
-3.626 -2.355 0.971
4.520 -3.222 -1.045
Au Os Sr
1 1 2
Direct
0.500 0.500 0.000
0.250 0.750 0.500
0.000 0.000 0.000
0.750 0.250 0.500

Energies in kJ/mol of atoms, measured from the most stable structure: arrangement P 0.0; arrangement Q 19.3.

Arrangement P

SrOs2Au PBEsol relaxed; DOS at the Fermi energy = 3.565 states/eV per cell; total moment = 0.0 μB/cell
1.0
2.868 0.000 0.000
0.000 5.080 -0.084
-1.434 -2.581 5.223
Au Os Sr
1 2 1
Direct
0.500 0.000 0.000
0.777 0.726 0.554
0.223 0.274 0.446
0.000 0.500 0.000

Arrangement Q

SrOs2Au PBEsol relaxed; DOS at the Fermi energy = 4.206 states/eV per cell; total moment = 0.0 μB/cell
1.0
3.959 0.000 0.000
0.000 3.959 0.000
0.000 0.000 4.561
Au Os Sr
1 2 1
Direct
0.000 0.000 0.500
0.000 0.500 0.000
0.500 0.000 0.000
0.500 0.500 0.500

Energies in kJ/mol of atoms, measured from the most stable structure: arrangement P 0.0; arrangement Q 21.6.

Arrangement P

TlOs2Au PBEsol relaxed; DOS at the Fermi energy = 4.008 states/eV per cell; total moment = 0.0 μB/cell
1.0
2.928 0.000 0.000
0.000 2.928 0.000
0.000 0.000 7.630
Au Os Tl
1 2 1
Direct
0.500 0.500 0.500
0.000 0.000 0.731
0.000 0.000 0.269
0.500 0.500 0.000

Arrangement Q

TlOs2Au PBEsol relaxed; DOS at the Fermi energy = 4.665 states/eV per cell; total moment = 0.0 μB/cell
1.0
2.828 0.000 0.000
0.000 3.979 0.000
0.000 0.000 5.933
Au Os Tl
1 2 1
Direct
0.500 0.500 0.500
0.000 0.000 0.717
0.000 0.000 0.283
0.500 0.500 0.000

Arrangement R

TlOs2Au PBEsol relaxed; DOS at the Fermi energy = 2.582 states/eV per cell; total moment = 0.0 μB/cell
1.0
4.048 0.000 0.000
0.000 4.048 0.000
-2.024 -2.024 3.961
Au Os Tl
1 2 1
Direct
0.250 0.750 0.500
0.000 0.000 0.000
0.750 0.250 0.500
0.500 0.500 0.000

Energies in kJ/mol of atoms, measured from the most stable structure: arrangement P 13.2; arrangement Q 11.8; arrangement R 0.0.

Arrangement P

TlOsAu2 PBEsol relaxed; DOS at the Fermi energy = 2.639 states/eV per cell; total moment = 0.0 μB/cell
1.0
-0.370 0.262 -2.692
0.943 -3.668 -0.486
-6.776 -1.842 0.753
Au Os Tl
2 1 1
Direct
0.000 0.000 0.789
0.000 0.000 0.211
0.500 0.500 0.000
0.500 0.500 0.500

Arrangement Q

TlOsAu2 PBEsol relaxed; DOS at the Fermi energy = 2.506 states/eV per cell; total moment = 0.0 μB/cell
1.0
-0.839 2.650 0.937
-2.298 0.258 1.804
4.695 0.159 8.343
Au Os Tl
2 1 1
Direct
0.005 0.005 0.986
0.753 0.753 0.742
0.496 0.496 0.512
0.247 0.247 0.260

Arrangement R

TlOsAu2 PBEsol relaxed; DOS at the Fermi energy = 2.049 states/eV per cell; total moment = 0.0 μB/cell
1.0
3.028 0.000 0.000
0.000 4.972 0.018
0.000 -1.856 4.613
Au Os Tl
2 1 1
Direct
0.000 0.500 0.000
0.000 0.000 0.500
0.500 0.000 0.000
0.500 0.500 0.500

Energies in kJ/mol of atoms, measured from the most stable structure: arrangement P 5.0; arrangement Q 0.0; arrangement R 0.8.

Arrangement P

Os2WAu PBEsol relaxed; DOS at the Fermi energy = 3.365 states/eV per cell; total moment = 0.0 μB/cell
1.0
2.755 0.000 0.000
1.378 2.386 0.000
1.378 0.795 9.172
Au Os W
1 2 1
Direct
0.251 0.251 0.248
0.004 0.004 0.987
0.748 0.748 0.755
0.497 0.497 0.510

Arrangement Q

Os2WAu PBEsol relaxed; DOS at the Fermi energy = 2.710 states/eV per cell; total moment = 0.0 μB/cell
1.0
2.751 0.000 0.000
0.000 2.751 0.000
0.000 0.000 7.986
Au Os W
1 2 1
Direct
0.500 0.500 0.751
0.000 0.000 0.020
0.500 0.500 0.234
0.000 0.000 0.495

Arrangement R

Os2WAu PBEsol relaxed; DOS at the Fermi energy = 3.984 states/eV per cell; total moment = 0.0 μB/cell
1.0
-1.570 -1.646 1.598
1.128 -3.067 -2.052
4.331 -0.743 3.491
Au Os W
1 2 1
Direct
0.500 0.500 0.500
0.000 0.000 0.762
0.000 0.000 0.238
0.500 0.500 0.000

Arrangement S

Os2WAu PBEsol relaxed; DOS at the Fermi energy = 3.294 states/eV per cell; total moment = 0.0 μB/cell
1.0
-1.905 3.445 0.350
-1.180 -1.021 3.631
4.687 0.377 -0.521
Au Os W
1 2 1
Direct
0.000 0.000 0.000
0.750 0.250 0.500
0.250 0.750 0.500
0.500 0.500 0.000

Energies in kJ/mol of atoms, measured from the most stable structure: arrangement P 1.9; arrangement Q 0.0; arrangement R 5.8; arrangement S 4.9.

Arrangement P

OsWAu2 PBEsol relaxed; DOS at the Fermi energy = 2.815 states/eV per cell; total moment = 0.0 μB/cell
1.0
2.820 0.000 0.000
0.000 2.820 0.000
0.000 0.000 7.995
Au Os W
2 1 1
Direct
0.000 0.000 0.990
0.500 0.500 0.259
0.000 0.000 0.518
0.500 0.500 0.733

Arrangement Q

OsWAu2 PBEsol relaxed; DOS at the Fermi energy = 2.921 states/eV per cell; total moment = 0.0 μB/cell
1.0
2.855 0.000 0.000
0.000 3.862 0.000
0.000 0.000 5.718
Au Os W
2 1 1
Direct
0.000 0.000 0.000
0.500 0.500 0.250
0.000 0.000 0.522
0.500 0.500 0.728

Arrangement R

OsWAu2 PBEsol relaxed; DOS at the Fermi energy = 4.038 states/eV per cell; total moment = 0.0 μB/cell
1.0
-3.751 1.826 -1.640
-1.506 -1.222 -4.042
-3.726 -2.468 -0.352
Au Os W
2 1 1
Direct
0.000 0.000 0.000
0.750 0.750 0.750
0.500 0.500 0.500
0.250 0.250 0.250

Arrangement S

OsWAu2 PBEsol relaxed; DOS at the Fermi energy = 3.205 states/eV per cell; total moment = 0.0 μB/cell
1.0
-2.443 -0.300 -1.303
-2.314 -0.483 1.473
-3.072 8.920 0.731
Au Os W
2 1 1
Direct
0.250 0.250 0.251
0.750 0.750 0.749
0.500 0.500 0.500
0.000 0.000 0.000

Energies in kJ/mol of atoms, measured from the most stable structure: arrangement P 0.0; arrangement Q 6.0; arrangement R 39.6; arrangement S 26.7.